Tm8BiOs2: optimized geometry, PBE-GGA.

Its energy of formation from the pure elements is -0.2154 eV/atom. The calculation puts the volume at 26.75 Å³ per atom. The total energy is -5.862 eV per atom. The space group is No. 1. The calculation puts the magnetic moment at 0.00 μB per formula unit.

Unit cell a=5.582 b=7.536 c=8.292 alpha=113.02 beta=104.58 gamma=100.84
Element x y z (fractional)
Tm 0.974 0.031 0.598
Os 0.707 0.651 0.260
Tm 0.894 0.435 0.479
Tm 0.667 0.304 0.909
Tm 0.287 0.341 0.220
Tm 0.259 0.521 0.909
Tm 0.551 0.705 0.675
Tm 0.322 0.864 0.339
Os 0.356 0.299 0.557
Tm 0.785 0.941 0.145
Bi 0.198 0.908 0.909